[1]
# Tb3SmHo2Te6 GGA-PBE relaxed
data_Tb3SmHo2Te6
_cell_length_a 19.0433
_cell_length_b 4.3498
_cell_length_c 8.7887
_cell_angle_alpha 90.00
_cell_angle_beta 103.06
_cell_angle_gamma 90.00
_symmetry_space_group_name_H-M 'C 1 2/m 1'
_symmetry_Int_Tables_number 12
loop_
_symmetry_equiv_pos_as_xyz
'x,y,z'
'-x,-y,-z'
'-x,y,-z'
'x,-y,z'
'x+1/2,y+1/2,z'
'-x+1/2,-y+1/2,-z'
'-x+1/2,y+1/2,-z'
'x+1/2,-y+1/2,z'
loop_
_atom_site_label
_atom_site_fract_x
_atom_site_fract_y
_atom_site_fract_z
Tb1 0.0000 0.0000 0.0000
Tb2 0.1625 0.5000 0.3328
Sm1 0.0000 0.0000 0.5000
Ho1 0.1647 0.5000 0.8300
Te1 0.0019 0.5000 0.7552
Te2 0.1684 0.0000 0.0815
Te3 0.1701 0.0000 0.5868
# Total energy ... -5.19 eV per atom
# Raw formation energy ... -1506 kJ/mol of formula units
# Spin magnetization ... 0.00 μB/atom


[2]
# TlHg2PdCl8 GGA-PBE relaxed
data_TlHg2PdCl8
_cell_length_a 6.5538
_cell_length_b 7.5859
_cell_length_c 7.9558
_cell_angle_alpha 86.46
_cell_angle_beta 79.95
_cell_angle_gamma 87.76
_symmetry_space_group_name_H-M 'P -1'
_symmetry_Int_Tables_number 2
loop_
_symmetry_equiv_pos_as_xyz
'x,y,z'
'-x,-y,-z'
loop_
_atom_site_label
_atom_site_fract_x
_atom_site_fract_y
_atom_site_fract_z
Tl1 0.0000 0.0000 0.0000
Hg1 0.4994 0.4598 0.7402
Pd1 0.0000 0.0000 0.5000
Cl1 0.2199 0.8878 0.6820
Cl2 0.2332 0.8972 0.2694
Cl3 0.2616 0.3911 0.4684
Cl4 0.2715 0.3450 0.9800
# Total energy ... -2.48 eV per atom
# Raw formation energy ... -656 kJ/mol of formula units
# Spin magnetization ... 0.05 μB/atom